[1]
# MgCd4Pd, relaxed, DFT PBE
data_MgCd4Pd
_chemical_formula_sum 'Mg2 Cd8 Pd2'
_space_group_name_H-M_alt 'P 1'
_space_group_IT_number 1
_cell_length_a 8.9077
_cell_length_b 8.9077
_cell_length_c 5.3008
_cell_angle_alpha 96.10
_cell_angle_beta 96.10
_cell_angle_gamma 141.75
loop_
_space_group_symop_operation_xyz
'x,y,z'
loop_
_atom_site_label
_atom_site_type_symbol
_atom_site_fract_x
_atom_site_fract_y
_atom_site_fract_z
Mg1 Mg 0.2122 0.7878 0.7500
Mg2 Mg 0.7878 0.2122 0.2500
Cd1 Cd 0.1275 0.3932 0.7999
Cd2 Cd 0.2174 0.3178 0.3097
Cd3 Cd 0.3178 0.2174 0.8097
Cd4 Cd 0.3932 0.1275 0.2999
Cd5 Cd 0.6068 0.8725 0.7001
Cd6 Cd 0.6822 0.7826 0.1903
Cd7 Cd 0.7826 0.6822 0.6903
Cd8 Cd 0.8725 0.6068 0.2001
Pd1 Pd 0.2781 0.7219 0.2500
Pd2 Pd 0.7219 0.2781 0.7500
# E above lowest polymorph in meV per atom: 0
# Calculated formation energy in eV/f.u.: -1.2
# SG: C2/c, No. 15


[2]
# Mg3Cd4Pd, relaxed, DFT PBE
data_Mg3Cd4Pd
_chemical_formula_sum 'Mg3 Cd4 Pd1'
_space_group_name_H-M_alt 'P 1'
_space_group_IT_number 1
_cell_length_a 7.2411
_cell_length_b 7.2411
_cell_length_c 7.2411
_cell_angle_alpha 145.84
_cell_angle_beta 118.83
_cell_angle_gamma 71.96
loop_
_space_group_symop_operation_xyz
'x,y,z'
loop_
_atom_site_label
_atom_site_type_symbol
_atom_site_fract_x
_atom_site_fract_y
_atom_site_fract_z
Mg1 Mg 0.0000 0.0000 0.0000
Mg2 Mg 0.3649 0.8649 0.5000
Mg3 Mg 0.6351 0.1351 0.5000
Cd1 Cd 0.0558 0.3532 0.7026
Cd2 Cd 0.3495 0.6468 0.7026
Cd3 Cd 0.6505 0.3532 0.2974
Cd4 Cd 0.9442 0.6468 0.2974
Pd1 Pd 0.5000 0.5000 0.0000
# E above lowest polymorph in meV per atom: 12
# Calculated formation energy in eV/f.u.: -1.0
# SG: Immm, No. 71


[3]
# MgCdPd6, relaxed, DFT PBE
data_MgCdPd6
_chemical_formula_sum 'Mg1 Cd1 Pd6'
_space_group_name_H-M_alt 'P 1'
_space_group_IT_number 1
_cell_length_a 5.6629
_cell_length_b 5.6629
_cell_length_c 3.9951
_cell_angle_alpha 90.00
_cell_angle_beta 90.00
_cell_angle_gamma 90.13
loop_
_space_group_symop_operation_xyz
'x,y,z'
loop_
_atom_site_label
_atom_site_type_symbol
_atom_site_fract_x
_atom_site_fract_y
_atom_site_fract_z
Mg1 Mg 0.0000 0.0000 0.0000
Cd1 Cd 0.5000 0.5000 0.0000
Pd1 Pd 0.0000 0.5000 0.0000
Pd2 Pd 0.2472 0.2472 0.5000
Pd3 Pd 0.2474 0.7526 0.5000
Pd4 Pd 0.5000 0.0000 0.0000
Pd5 Pd 0.7526 0.2474 0.5000
Pd6 Pd 0.7528 0.7528 0.5000
# E above lowest polymorph in meV per atom: 0
# Calculated formation energy in eV/f.u.: -2.8
# SG: Cmmm, No. 65


| no. | magnetization (μB per cell) |
| --- | --- |
| 1 | 0.00 |
| 2 | 0.00 |
| 3 | 0.00 |